(1)
NaGdZn2: optimized geometry, PBE.

The space group is P4/mmm (No. 123) and the conventional cell measures 3.549, 3.549 and 7.470 Å, with angles of 90.00, 90.00 and 90.00 degrees. Symmetry generates all atoms from Na at (0.000, 0.000, 0.000), Gd at (0.000, 0.000, 0.500) and Zn at (0.500, 0.500, 0.262).

As for the polymorph energy (0 for the lowest one): 0.0 kJ/mol of formula units. For the total moment, the calculation gives 1.88 μB/atom.


(2)
GdNb2: optimized geometry, PBE.

The space group is Fd-3m (No. 227, origin choice 2) and the conventional cell measures 8.131, 8.131 and 8.131 Å, with angles of 90.00, 90.00 and 90.00 degrees. Symmetry generates all atoms from Gd at (0.125, 0.125, 0.125) and Nb at (0.000, 0.000, 0.500).

For the total moment, the calculation gives 2.61 μB/atom.


(3)
GdNb5: optimized geometry, PBE.

The space group is Cmmm (No. 65) and the conventional cell measures 4.943, 14.417 and 3.346 Å, with angles of 90.00, 90.00 and 90.00 degrees. Symmetry generates all atoms from Gd at (0.000, 0.000, 0.000), Nb at (0.000, 0.182, 0.500), Nb at (0.000, 0.333, 0.000) and Nb at (0.000, 0.500, 0.500).

For the total moment, the calculation gives 1.24 μB/atom.


(4)
GdNbNi2: optimized geometry, PBE.

The space group is R-3m (No. 166, hexagonal axes) and the conventional cell measures 4.2587, 4.2587 and 14.3944 Å, with angles of 90.00, 90.00 and 120.00 degrees. Symmetry generates all atoms from Gd at (0.0000, 0.0000, 0.0000), Nb at (0.0000, 0.0000, 0.5000) and Ni at (0.0000, 0.0000, 0.2013).

As for the polymorph energy (0 for the lowest one): 0.0 kJ/mol of formula units. For the total moment, the calculation gives 1.76 μB/atom.


(5)
GdNbNi2: optimized geometry, PBE.

The space group is P4/mmm (No. 123) and the conventional cell measures 3.211, 3.211 and 6.726 Å, with angles of 90.00, 90.00 and 90.00 degrees. Symmetry generates all atoms from Gd at (0.000, 0.000, 0.000), Nb at (0.000, 0.000, 0.500) and Ni at (0.500, 0.500, 0.307).

As for the polymorph energy (0 for the lowest one): 8.4 kJ/mol of formula units. For the total moment, the calculation gives 1.86 μB/atom.


(6)
GdNbNiRu: optimized geometry, PBE.

The space group is F-43m (No. 216) and the conventional cell measures 6.544, 6.544 and 6.544 Å, with angles of 90.00, 90.00 and 90.00 degrees. Symmetry generates all atoms from Gd at (0.000, 0.000, 0.000), Nb at (0.000, 0.000, 0.500), Ni at (0.250, 0.250, 0.250) and Ru at (0.250, 0.250, 0.750).

For the total moment, the calculation gives 1.75 μB/atom.


(7)
Gd3NbO7: optimized geometry, PBE.

The space group is P-1 (No. 2) and the conventional cell measures 6.461, 6.576 and 7.705 Å, with angles of 73.21, 89.74 and 82.73 degrees. Symmetry generates all atoms from Gd at (0.047, 0.007, 0.250), Gd at (0.237, 0.544, 0.108), Gd at (0.239, 0.536, 0.616), Nb at (0.500, 0.000, 0.000), Nb at (0.500, 0.000, 0.500), O at (0.042, 0.638, 0.841), O at (0.058, 0.651, 0.335), O at (0.209, 0.928, 0.550), O at (0.210, 0.930, 0.984), O at (0.416, 0.039, 0.239), O at (0.422, 0.321, 0.447) and O at (0.425, 0.329, 0.896).

As for the polymorph energy (0 for the lowest one): 1.6 kJ/mol of formula units. Its uncorrected formation energy is -314 kJ/mol of atoms. For the total moment, the calculation gives 1.91 μB/atom.


(8)
Gd3NbO7: optimized geometry, PBE.

The space group is Cmme (No. 67) and the conventional cell measures 7.601, 14.650 and 5.427 Å, with angles of 90.00, 90.00 and 90.00 degrees. Symmetry generates all atoms from Gd at (0.000, 0.119, 0.027), Gd at (0.250, 0.250, 0.500), Nb at (0.250, 0.000, 0.500), O at (0.000, 0.012, 0.289), O at (0.000, 0.250, 0.257) and O at (0.220, 0.118, 0.735).

As for the polymorph energy (0 for the lowest one): 270.5 kJ/mol of formula units. Its uncorrected formation energy is -289 kJ/mol of atoms. For the total moment, the calculation gives 1.91 μB/atom.


(9)
Gd2NbO: optimized geometry, PBE.

The space group is R-3m (No. 166, hexagonal axes) and the conventional cell measures 3.2899, 3.2899 and 26.5785 Å, with angles of 90.00, 90.00 and 120.00 degrees. Symmetry generates all atoms from Gd at (0.0000, 0.0000, 0.1109), Nb at (0.0000, 0.0000, 0.0000) and O at (0.0000, 0.0000, 0.5000).

Its uncorrected formation energy is -77 kJ/mol of atoms. For the total moment, the calculation gives 3.74 μB/atom.


(10)
Gd3NbO7: optimized geometry, PBE.

The space group is Cmcm (No. 63) and the conventional cell measures 10.772, 7.439 and 7.623 Å, with angles of 90.00, 90.00 and 90.00 degrees. Symmetry generates all atoms from Gd at (0.000, 0.000, 0.000), Gd at (0.229, 0.289, 0.250), Nb at (0.000, 0.500, 0.000), O at (0.000, 0.423, 0.250), O at (0.129, 0.308, 0.536) and O at (0.132, 0.022, 0.250).

As for the polymorph energy (0 for the lowest one): 23.6 kJ/mol of formula units. Its uncorrected formation energy is -312 kJ/mol of atoms. For the total moment, the calculation gives 1.91 μB/atom.


(11)
Gd3NbO7: optimized geometry, PBE.

The space group is C222_1 (No. 20) and the conventional cell measures 7.692, 10.709 and 7.585 Å, with angles of 90.00, 90.00 and 90.00 degrees. Symmetry generates all atoms from Gd at (0.039, 0.000, 0.000), Gd at (0.233, 0.268, 0.761), Nb at (0.003, 0.500, 0.000), O at (0.000, 0.128, 0.250), O at (0.000, 0.140, 0.750), O at (0.000, 0.433, 0.750), O at (0.174, 0.372, 0.047) and O at (0.206, 0.377, 0.478).

As for the polymorph energy (0 for the lowest one): 0.0 kJ/mol of formula units. Its uncorrected formation energy is -314 kJ/mol of atoms. For the total moment, the calculation gives 1.91 μB/atom.


(12)
Gd3NbO7: optimized geometry, PBE.

The space group is Pc (No. 7) and the conventional cell measures 8.209, 5.724 and 7.702 Å, with angles of 90.00, 117.05 and 90.00 degrees. Symmetry generates all atoms from Gd at (0.000, 0.002, 0.000), Gd at (0.218, 0.479, 0.928), Gd at (0.445, 0.034, 0.365), Nb at (0.688, 0.486, 0.746), O at (0.099, 0.137, 0.793), O at (0.200, 0.287, 0.182), O at (0.346, 0.200, 0.605), O at (0.502, 0.275, 0.107), O at (0.654, 0.358, 0.495), O at (0.722, 0.188, 0.877) and O at (0.917, 0.371, 0.342).

As for the polymorph energy (0 for the lowest one): 100.7 kJ/mol of formula units. Its uncorrected formation energy is -305 kJ/mol of atoms. For the total moment, the calculation gives 1.91 μB/atom.


(13)
Gd3NbS3O4: optimized geometry, PBE.

The space group is Pna2_1 (No. 33) and the conventional cell measures 6.672, 14.329 and 7.647 Å, with angles of 90.00, 90.00 and 90.00 degrees. Symmetry generates all atoms from Gd at (0.217, 0.156, 0.000), Gd at (0.223, 0.918, 0.244), Gd at (0.228, 0.166, 0.490), Nb at (0.182, 0.927, 0.758), S at (0.003, 0.273, 0.753), S at (0.028, 0.493, 0.467), S at (0.047, 0.298, 0.235), O at (0.117, 0.865, 0.975), O at (0.124, 0.887, 0.522), O at (0.136, 0.073, 0.256) and O at (0.143, 0.063, 0.737).

Its uncorrected formation energy is -254 kJ/mol of atoms. For the total moment, the calculation gives 1.91 μB/atom.


(14)
GdNbOs2: optimized geometry, PBE.

The space group is P4/mmm (No. 123) and the conventional cell measures 3.210, 3.210 and 7.098 Å, with angles of 90.00, 90.00 and 90.00 degrees. Symmetry generates all atoms from Gd at (0.000, 0.000, 0.000), Nb at (0.000, 0.000, 0.500) and Os at (0.500, 0.500, 0.285).

For the total moment, the calculation gives 1.73 μB/atom.


(15)
GdNbOsRh: optimized geometry, PBE.

The space group is F-43m (No. 216) and the conventional cell measures 6.617, 6.617 and 6.617 Å, with angles of 90.00, 90.00 and 90.00 degrees. Symmetry generates all atoms from Gd at (0.000, 0.000, 0.000), Nb at (0.000, 0.000, 0.500), Os at (0.250, 0.250, 0.750) and Rh at (0.250, 0.250, 0.250).

For the total moment, the calculation gives 1.74 μB/atom.


(16)
GdNbP2: optimized geometry, PBE.

The space group is R-3m (No. 166, hexagonal axes) and the conventional cell measures 3.7657, 3.7657 and 18.8102 Å, with angles of 90.00, 90.00 and 120.00 degrees. Symmetry generates all atoms from Gd at (0.0000, 0.0000, 0.0000), Nb at (0.0000, 0.0000, 0.5000) and P at (0.0000, 0.0000, 0.2410).

For the total moment, the calculation gives 1.70 μB/atom.


(17)
GdPa2Nb: optimized geometry, PBE.

The space group is P4/mmm (No. 123) and the conventional cell measures 3.904, 3.904 and 6.601 Å, with angles of 90.00, 90.00 and 90.00 degrees. Symmetry generates all atoms from Gd at (0.000, 0.000, 0.000), Pa at (0.500, 0.500, 0.289) and Nb at (0.000, 0.000, 0.500).

For the total moment, the calculation gives 1.81 μB/atom.


(18)
PmGd2Nb: optimized geometry, PBE.

The space group is R-3m (No. 166, hexagonal axes) and the conventional cell measures 3.3338, 3.3338 and 35.2564 Å, with angles of 90.00, 90.00 and 120.00 degrees. Symmetry generates all atoms from Pm at (0.0000, 0.0000, 0.0000), Gd at (0.0000, 0.0000, 0.4188) and Nb at (0.0000, 0.0000, 0.5000).

For the total moment, the calculation gives 3.59 μB/atom.


(19)
GdNbPt2: optimized geometry, PBE.

The space group is P4/mmm (No. 123) and the conventional cell measures 3.227, 3.227 and 7.411 Å, with angles of 90.00, 90.00 and 90.00 degrees. Symmetry generates all atoms from Gd at (0.000, 0.000, 0.000), Nb at (0.000, 0.000, 0.500) and Pt at (0.500, 0.500, 0.284).

For the total moment, the calculation gives 1.76 μB/atom.


(20)
GdNbRe4: optimized geometry, PBE.

The space group is F-43m (No. 216) and the conventional cell measures 7.534, 7.534 and 7.534 Å, with angles of 90.00, 90.00 and 90.00 degrees. Symmetry generates all atoms from Gd at (0.000, 0.000, 0.000), Nb at (0.250, 0.250, 0.750) and Re at (0.125, 0.125, 0.375).

For the total moment, the calculation gives 1.14 μB/atom.


no.,final energy (eV per atom)
1,-4.577
2,-11.205
3,-10.522
4,-9.123
5,-9.101
6,-9.894
7,-11.161
8,-10.908
9,-11.594
10,-11.141
11,-11.163
12,-11.068
13,-10.321
14,-11.807
15,-10.909
16,-9.874
17,-10.457
18,-10.189
19,-9.758
20,-12.343